Density functional theory data (PBE) for a relaxed BaBeSe2Br crystal.

Cell: 6.510 6.510 6.238 Å, 90.00 90.00 90.00°
Positions (direct):
Ba (0.000, 0.000, 0.000)
Be (0.500, 0.500, 0.500)
Se (0.000, 0.500, 0.000)
Se (0.500, 0.000, 0.000)
Br (0.000, 0.000, 0.500)

Summary:
For the uncorrected formation energy, the calculation gives 36.4 kJ per mole of atoms. As for the calculated volume: 264.3 Å³/f.u.